No. 1
Here is a relaxed structure of TlOsSe4 from the Alexandria database. Energies are from PBE-GGA.

abc: 8.1710 8.1710 8.1710
angles: 90.00 90.00 90.00
With the nearest neighbours (Å) after each atom.
Space group F-43m (No. 216)
One atom of each set of equivalent atoms:
Tl  0.0000  0.0000  0.0000 (multiplicity 4)  12 Se 3.39, 4 Os 3.54
Os  0.2500  0.2500  0.7500 (multiplicity 4)  12 Se 3.38, 4 Tl 3.54
Se  0.1229  0.1229  0.3771 (multiplicity 16)  6 Se 2.84-2.94

No. 2
Here is a relaxed structure of Tl3OsSe from the Alexandria database. Energies are from PBE-GGA.

abc: 5.6996 5.6996 5.6996
angles: 90.00 90.00 90.00
With the nearest neighbours (Å) after each atom.
Space group Pm-3m (No. 221)
One atom of each set of equivalent atoms:
Tl  0.0000  0.0000  0.5000 (multiplicity 3)  2 Se 2.85
Os  0.5000  0.5000  0.5000 (multiplicity 1)  12 Tl 4.03
Se  0.0000  0.0000  0.0000 (multiplicity 1)  6 Tl 2.85

No. 3
Here is a relaxed structure of Tl2OsSe from the Alexandria database. Energies are from PBE-GGA.

abc: 6.2525 6.2525 13.2871
angles: 90.00 90.00 90.00
With the nearest neighbours (Å) after each atom.
Space group I-42d (No. 122)
One atom of each set of equivalent atoms:
Tl  0.2173  0.2500  0.1250 (multiplicity 8)  2 Os 2.65, 2 Se 2.89
Os  0.0000  0.0000  0.0000 (multiplicity 4)  4 Tl 2.65
Se  0.0000  0.0000  0.5000 (multiplicity 4)  4 Tl 2.89

No. 4
Here is a relaxed structure of TlOsSe2 from the Alexandria database. Energies are from PBE-GGA.

abc: 7.5367 7.5367 7.4738
angles: 90.00 90.00 90.00
With the nearest neighbours (Å) after each atom.
Space group I-42d (No. 122)
One atom of each set of equivalent atoms:
Tl  0.0000  0.0000  0.0000 (multiplicity 4)  8 Se 3.39-3.55, 2 Os 3.74
Os  0.0000  0.0000  0.5000 (multiplicity 4)  4 Se 2.38
Se  0.1471  0.7500  0.6250 (multiplicity 8)  2 Os 2.38

No. 5
Here is a relaxed structure of TlOsSe2 from the Alexandria database. Energies are from PBE-GGA.

abc: 4.3742 4.3742 8.1603
angles: 90.00 90.00 90.00
With the nearest neighbours (Å) after each atom.
Space group I-4m2 (No. 119)
One atom of each set of equivalent atoms:
Tl  0.0000  0.0000  0.0000 (multiplicity 2)  8 Se 2.99-3.09, 4 Os 2.99
Os  0.0000  0.5000  0.7500 (multiplicity 2)  4 Tl 2.99, 8 Se 2.99-3.09
Se  0.0000  0.0000  0.5000 (multiplicity 2)  4 Se 2.99, 4 Os 2.99, 4 Tl 3.09
Se  0.0000  0.5000  0.2500 (multiplicity 2)  4 Tl 2.99, 4 Se 2.99, 4 Os 3.09

No. 6
Here is a relaxed structure of TlOsSe2 from the Alexandria database. Energies are from PBE-GGA.

abc: 3.2947 4.7370 4.9883
angles: 90.00 90.00 90.00
With the nearest neighbours (Å) after each atom.
Space group Pmmm (No. 47)
One atom of each set of equivalent atoms:
Tl  0.0000  0.0000  0.0000 (multiplicity 1)  4 Os 2.89, 4 Se 2.99
Os  0.5000  0.5000  0.0000 (multiplicity 1)  4 Tl 2.89, 4 Se 2.99
Se  0.0000  0.5000  0.5000 (multiplicity 1)  4 Se 2.89, 4 Os 2.99
Se  0.5000  0.0000  0.5000 (multiplicity 1)  4 Se 2.89, 4 Tl 2.99

Computed raw total energy (eV/f.u.) in order:
-20.495, -14.628, -15.367, -20.306, -16.626, -16.569
Computed formation energy (no corrections) (eV per atom) in order:
1.173, 1.437, 1.020, 0.065, 0.985, 0.999
Computed total magnetization (μB per atom) in order:
0.63, 0.53, 0.00, 0.00, 0.00, 0.04